AgAu2Cl: relaxed, GGA-PBE.

Computed properties:
Its spin magnetization is 0.000 μB per formula unit. The calculation puts the final energy at -2.703 eV per atom. For the excess energy over the best structure of this formula in the dataset, the calculation gives 147 meV/atom. As for the space group: Pmmm.

```
AgAu2Cl
1.0
3.485 0.000 0.000
0.000 3.522 0.000
0.000 0.000 6.402
Au Ag Cl
2 1 1
Direct
0.000 0.000 0.971
0.000 0.000 0.529
0.500 0.500 0.750
0.500 0.500 0.250
```



Ac2TmAl: relaxed, GGA-PBE.

Computed properties:
Its spin magnetization is 0.000 μB per formula unit. The calculation puts the final energy at -4.148 eV per atom. Its formation enthalpy at 0 K is -40 meV/atom. For the excess energy over the best structure of this formula in the dataset, the calculation gives 0 meV/atom. As for the space group: P4/mmm.

```
Ac2TmAl
1.0
-1.441 2.089 3.088
1.114 -2.918 2.494
7.659 3.789 1.011
Ac Tm Al
2 1 1
Direct
0.000 0.000 0.781
0.000 0.000 0.219
0.500 0.500 0.500
0.500 0.500 0.000
```



SmMgSi: relaxed, GGA-PBE.

Computed properties:
Its spin magnetization is 0.000 μB per formula unit. The calculation puts the final energy at -4.311 eV per atom. As for the space group: P3m1.

```
SmMgSi
1.0
-3.279 1.427 2.028
-2.659 -1.651 -3.137
1.091 -2.477 3.508
Si Mg Sm
1 1 1
Direct
0.166 0.000 0.000
0.167 0.667 0.333
0.667 0.333 0.667
```



La3BeRu: relaxed, GGA-PBE.

Computed properties:
Its spin magnetization is 0.000 μB per formula unit. The calculation puts the final energy at -5.351 eV per atom. Its formation enthalpy at 0 K is 206 meV/atom. For the excess energy over the best structure of this formula in the dataset, the calculation gives 0 meV/atom. As for the space group: Pm-3m.

```
La3BeRu
1.0
-1.876 -4.873 1.570
5.092 -1.603 1.111
-0.531 1.848 5.102
Ru Be La
1 1 3
Direct
0.000 0.000 0.000
0.500 0.500 0.500
0.000 0.500 0.000
0.000 0.000 0.500
0.500 0.000 0.000
```



Ni2RhCl: relaxed, GGA-PBE.

Computed properties:
Its spin magnetization is 2.418 μB per formula unit. The calculation puts the final energy at -4.543 eV per atom. For the excess energy over the best structure of this formula in the dataset, the calculation gives 445 meV/atom. As for the space group: I4/mmm.

```
Ni2RhCl
1.0
4.620 -0.022 0.000
1.495 4.371 0.000
-3.058 -2.175 2.696
Cl Ni Rh
1 2 1
Direct
0.750 0.250 0.500
0.000 0.000 0.000
0.500 0.500 0.000
0.250 0.750 0.500
```



BaMg2In4Ag: relaxed, GGA-PBE.

Computed properties:
Its spin magnetization is 0.000 μB per formula unit. The calculation puts the final energy at -2.536 eV per atom. Its formation enthalpy at 0 K is -172 meV/atom. As for the space group: R-3m.

```
BaMg2In4Ag
1.0
-0.273 4.094 2.851
-3.555 0.381 3.490
4.922 -2.819 8.897
Ba Mg In Ag
1 2 4 1
Direct
0.000 0.000 0.000
0.762 0.762 0.715
0.238 0.238 0.285
0.402 0.402 0.793
0.869 0.869 0.393
0.131 0.131 0.607
0.598 0.598 0.207
0.500 0.500 0.500
```